# PBE+U LiVCO3F2, relaxed
data_LiVCO3F2
_symmetry_space_group_name_H-M 'P n m a'
_symmetry_Int_Tables_number 62
_symmetry_space_group_name_Hall '-P 2ac 2n'
_cell_length_a 5.573
_cell_length_b 6.505
_cell_length_c 9.805
_cell_angle_alpha 90.00
_cell_angle_beta 90.00
_cell_angle_gamma 90.00
loop_
_atom_site_label
_atom_site_fract_x
_atom_site_fract_y
_atom_site_fract_z
Li1 0.221 0.250 0.231
V1 0.033 0.250 0.874
C1 0.025 0.750 0.439
O1 0.117 0.750 0.315
O2 0.191 0.750 0.531
O3 0.198 0.250 0.536
F1 0.048 0.544 0.832
# **E_tot**: -0.2481 hartree per atom